(1)
10
Lattice="4.6573 -2.2814 0.0000 4.6573 2.2814 0.0000 -2.3854 0.0000 6.8507" Properties=species:S:1:pos:R:3 comment="Nb2Ni2Ir, optimized geometry, DFT PBE" polymorph_energy_ev_per_atom=0.071 pbc="T T T"
Nb 1.0294 1.4868 5.8817
Nb 4.7071 1.4868 4.3943
Nb 2.2221 -1.4868 2.4564
Nb 5.8998 -1.4868 0.9690
Ni 2.2836 0.7916 3.6584
Ni 3.4529 0.7916 6.6176
Ni 3.4763 -0.7916 0.2331
Ni 4.6456 -0.7916 3.1923
Ir 4.0610 1.3232 1.7127
Ir 2.8683 -1.3232 5.1380

---

(2)
6
Lattice="5.0653 -1.3917 0.0000 5.0653 1.3917 0.0000 -3.5703 0.0000 6.2688" Properties=species:S:1:pos:R:3 comment="NbNiIr, optimized geometry, DFT PBE" total_energy_ev_per_atom=-8.507 pbc="T T T"
Nb 0.0000 0.0000 0.0000
Nb -0.4140 0.0000 3.8527
Ni 3.4979 0.0000 1.7076
Ni 3.9775 0.0000 6.0933
Ir 2.3261 0.0000 4.0686
Ir 6.2645 0.0000 2.0833

---

(3)
12
Lattice="5.9179 -1.9253 0.0000 5.9179 1.9253 0.0000 -4.0230 0.0000 7.3631" Properties=species:S:1:pos:R:3 comment="Nb2Ni3Ir, optimized geometry, DFT PBE" total_energy_ev_per_atom=-7.930 pbc="T T T"
Nb -1.1161 0.0000 2.5085
Nb 0.8315 0.0000 4.8109
Nb 6.9814 0.0000 2.5523
Nb 8.9289 0.0000 4.8547
Ni 0.9790 0.0000 0.8265
Ni -1.0533 0.0000 6.6087
Ni 4.9594 0.0000 0.8344
Ni 2.8534 0.0000 6.5288
Ni 8.8661 0.0000 0.7544
Ni 6.8338 0.0000 6.5366
Ir 2.9440 0.0000 2.6087
Ir 4.8688 0.0000 4.7545

---

Question: Number 3 is which compound?
Answer: Nb2Ni3Ir